Run w
Entry from the Alexandria database: a geometry-optimized MgPtF2 structure (GGA-PBE).

POSCAR file:
```
MgPtF2
1.0
0.0000 2.9813 2.9813
2.9813 0.0000 2.9813
2.9813 2.9813 0.0000
Mg Pt F
1 1 2
Cartesian
0.0000 0.0000 0.0000 Mg
2.9813 2.9813 2.9813 Pt
1.4907 1.4907 1.4907 F
4.4720 4.4720 4.4720 F
```

Values from the calculation:
Symmetry ... Fm-3m, No. 225
D(E_F) ... 3.150 states/eV/cell
Size of the total moment ... 0.36 Bohr magnetons per cell

***

Run x
Entry from the Alexandria database: a geometry-optimized MgPtF2 structure (GGA-PBE).

POSCAR file:
```
MgPtF2
1.0
1.4160 0.8175 9.5832
-1.4160 0.8175 9.5832
0.0000 -1.6351 9.5832
Mg Pt F
1 1 2
Cartesian
0.0000 0.0000 0.0000 Mg
0.0000 0.0000 14.3749 Pt
0.0000 0.0000 10.6320 F
0.0000 0.0000 18.1178 F
```

Values from the calculation:
Symmetry ... R-3m, No. 166
D(E_F) ... 2.972 states/eV/cell
Size of the total moment ... 0.00 Bohr magnetons per cell

***

It comes down to run x, which is 1.192 eV/atom more stable than the next structure.

***

Run w
Entry from the Alexandria database: a geometry-optimized MgPt2F structure (GGA-PBE).

POSCAR file:
```
MgPt2F
1.0
0.0000 3.0822 3.0822
3.0822 0.0000 3.0822
3.0822 3.0822 0.0000
Mg Pt F
1 2 1
Cartesian
0.0000 0.0000 0.0000 Mg
1.5411 1.5411 1.5411 Pt
4.6234 4.6234 4.6234 Pt
3.0822 3.0822 3.0822 F
```

Values from the calculation:
Symmetry ... Fm-3m, No. 225
D(E_F) ... 2.349 states/eV/cell
Size of the total moment ... 0.00 Bohr magnetons per cell

***

Run x
Entry from the Alexandria database: a geometry-optimized MgPt2F structure (GGA-PBE).

POSCAR file:
```
MgPt2F
1.0
-1.7932 1.7932 10.4785
1.7932 -1.7932 10.4785
1.7932 1.7932 -10.4785
Mg Pt F
2 4 2
Cartesian
0.0000 0.0000 0.0000 Mg
0.0000 1.7932 5.2393 Mg
2.6898 0.8964 -2.6196 Pt
0.8964 0.8966 2.6196 Pt
-0.8966 0.8968 7.8589 Pt
0.8968 0.8966 13.0982 Pt
1.7932 0.0000 5.2393 F
0.0000 0.0000 10.4785 F
```

Values from the calculation:
Symmetry ... I-42d, No. 122
D(E_F) ... 7.039 states/eV/cell
Size of the total moment ... 0.00 Bohr magnetons per cell

***

It comes down to run x, which is 0.435 eV/atom more stable than the next structure.

***

Run w
Entry from the Alexandria database: a geometry-optimized MgPt3F structure (GGA-PBE).

POSCAR file:
```
MgPt3F
1.0
4.4037 0.0000 0.0000
0.0000 4.4037 0.0000
0.0000 0.0000 4.4037
Mg Pt F
1 3 1
Cartesian
0.0000 0.0000 0.0000 Mg
0.0000 2.2018 2.2018 Pt
2.2018 0.0000 2.2018 Pt
2.2018 2.2018 0.0000 Pt
2.2018 2.2018 2.2018 F
```

Values from the calculation:
Symmetry ... Pm-3m, No. 221
D(E_F) ... 7.885 states/eV/cell
Size of the total moment ... 0.00 Bohr magnetons per cell

***

Run x
Entry from the Alexandria database: a geometry-optimized MgPt3F structure (GGA-PBE).

POSCAR file:
```
MgPt3F
1.0
4.6892 0.0000 0.0000
0.0000 4.6892 0.0000
0.0000 0.0000 4.6892
Mg Pt F
1 3 1
Cartesian
0.0000 0.0000 0.0000 Mg
0.0000 0.0000 2.3446 Pt
0.0000 2.3446 0.0000 Pt
2.3446 0.0000 0.0000 Pt
2.3446 2.3446 2.3446 F
```

Values from the calculation:
Symmetry ... Pm-3m, No. 221
D(E_F) ... 6.053 states/eV/cell
Size of the total moment ... 1.01 Bohr magnetons per cell

***

It comes down to run w, which is 0.700 eV/atom more stable than the next structure.

***

Run w
Entry from the Alexandria database: a geometry-optimized RbMgF3 structure (GGA-PBE).

POSCAR file:
```
RbMgF3
1.0
4.8993 0.0000 0.0000
0.0000 4.8993 0.0000
0.0000 0.0000 4.8993
Rb Mg F
1 1 3
Cartesian
0.0000 0.0000 0.0000 Rb
2.4496 2.4496 2.4496 Mg
0.0000 0.0000 2.4496 F
0.0000 2.4496 0.0000 F
2.4496 0.0000 0.0000 F
```

Values from the calculation:
Symmetry ... Pm-3m, No. 221
D(E_F) ... 2.782 states/eV/cell
Size of the total moment ... 0.00 Bohr magnetons per cell

***

Run x
Entry from the Alexandria database: a geometry-optimized RbMgF3 structure (GGA-PBE).

POSCAR file:
```
RbMgF3
1.0
5.9288 0.0000 0.0000
-2.9644 5.1345 0.0000
0.0000 0.0000 14.4310
Rb Mg F
6 6 18
Cartesian
0.0000 0.0000 3.6078 Rb
0.0000 0.0000 10.8233 Rb
0.0000 3.4230 1.4192 Rb
0.0000 3.4230 5.7963 Rb
2.9644 1.7115 8.6348 Rb
2.9644 1.7115 13.0118 Rb
0.0000 0.0000 0.0000 Mg
0.0000 0.0000 7.2155 Mg
0.0000 3.4230 9.4144 Mg
0.0000 3.4230 12.2322 Mg
2.9644 1.7115 2.1989 Mg
2.9644 1.7115 5.0167 Mg
-1.2963 2.6746 10.8233 F
0.0000 1.7038 8.3670 F
0.0000 1.7038 13.2795 F
-1.4889 4.2826 8.3670 F
-1.4889 4.2826 13.2795 F
1.4755 0.8519 1.1515 F
1.4755 0.8519 6.0640 F
1.2963 2.6746 10.8233 F
0.0000 4.9198 10.8233 F
2.9644 0.2147 3.6078 F
1.6681 2.4599 3.6078 F
1.4889 4.2826 8.3670 F
1.4889 4.2826 13.2795 F
4.4533 0.8519 1.1515 F
4.4533 0.8519 6.0640 F
2.9644 3.4307 1.1515 F
2.9644 3.4307 6.0640 F
4.2607 2.4599 3.6078 F
```

Values from the calculation:
Symmetry ... P6_3/mmc, No. 194
D(E_F) ... 0.000 states/eV/cell
Size of the total moment ... 0.25 Bohr magnetons per cell

***

It comes down to run x, which is 1.777 eV/atom more stable than the next structure.

***

Run w
Entry from the Alexandria database: a geometry-optimized RbMg3F structure (GGA-PBE).

POSCAR file:
```
RbMg3F
1.0
5.2229 0.0000 0.0000
0.0000 5.2229 0.0000
0.0000 0.0000 5.2229
Rb Mg F
1 3 1
Cartesian
0.0000 0.0000 0.0000 Rb
0.0000 2.6114 2.6114 Mg
2.6114 0.0000 2.6114 Mg
2.6114 2.6114 0.0000 Mg
2.6114 2.6114 2.6114 F
```

Values from the calculation:
Symmetry ... Pm-3m, No. 221
D(E_F) ... 2.335 states/eV/cell
Size of the total moment ... 0.00 Bohr magnetons per cell

***

Run x
Entry from the Alexandria database: a geometry-optimized RbMg3F structure (GGA-PBE).

POSCAR file:
```
RbMg3F
1.0
7.2281 0.0000 0.0000
0.0000 7.2281 0.0000
0.0000 0.0000 7.2281
Rb Mg F
1 3 1
Cartesian
0.0000 0.0000 0.0000 Rb
0.0000 0.0000 3.6140 Mg
0.0000 3.6140 0.0000 Mg
3.6140 0.0000 0.0000 Mg
3.6140 3.6140 3.6140 F
```

Values from the calculation:
Symmetry ... Pm-3m, No. 221
D(E_F) ... 233.119 states/eV/cell
Size of the total moment ... 0.00 Bohr magnetons per cell

***

It comes down to run w, which is 0.942 eV/atom more stable than the next structure.

***

Run w
Entry from the Alexandria database: a geometry-optimized Rb2MgSnF6 structure (GGA-PBE).

POSCAR file:
```
Rb2MgSnF6
1.0
0.0000 4.4235 4.4235
4.4235 0.0000 4.4235
4.4235 4.4235 0.0000
Rb Mg Sn F
2 1 1 6
Cartesian
2.2118 2.2118 2.2118 Rb
6.6353 6.6353 6.6353 Rb
0.0000 0.0000 0.0000 Mg
4.4235 4.4235 4.4235 Sn
4.4235 4.4235 2.0321 F
4.4235 2.0321 4.4235 F
6.8150 4.4235 4.4235 F
2.0321 4.4235 4.4235 F
4.4235 6.8150 4.4235 F
4.4235 4.4235 6.8150 F
```

Values from the calculation:
Symmetry ... Fm-3m, No. 225
D(E_F) ... 0.000 states/eV/cell
Size of the total moment ... 0.00 Bohr magnetons per cell

***

Run x
Entry from the Alexandria database: a geometry-optimized Rb2MgSnF6 structure (GGA-PBE).

POSCAR file:
```
Rb2MgSnF6
1.0
4.5170 0.0000 0.0000
0.0000 4.5170 0.0000
0.0000 0.0000 8.8521
Rb Mg Sn F
2 1 1 6
Cartesian
0.0000 0.0000 1.9997 Rb
0.0000 0.0000 6.8524 Rb
2.2585 2.2585 0.0000 Mg
2.2585 2.2585 4.4260 Sn
0.0000 2.2585 0.0000 F
0.0000 2.2585 4.4260 F
2.2585 0.0000 0.0000 F
2.2585 0.0000 4.4260 F
2.2585 2.2585 1.9367 F
2.2585 2.2585 6.9154 F
```

Values from the calculation:
Symmetry ... P4/mmm, No. 123
D(E_F) ... 0.000 states/eV/cell
Size of the total moment ... 0.00 Bohr magnetons per cell

***

It comes down to run w, which is 0.052 eV/atom more stable than the next structure.